First-principles (meta-GGA SCAN) data for a crystal of RbYIN2 relaxed with PBEsol, as listed in Alexandria.

Results
Formation energy (no corrections), eV/atom: -0.10
Total DFT energy (no corrections), eV per formula unit: -104.4
Magnetization, μB per cell: 3.0

Lattice parameters (Å, degrees): 4.654 4.654 6.128 90.00 90.00 90.00
Last column: magnetic moment on the atom in μB.
Fractional positions:
I 0.000 0.000 0.500  0.04
Y 0.000 0.000 0.000  -0.04
Rb 0.500 0.500 0.500  0.00
N 0.000 0.500 0.000  1.02
N 0.500 0.000 0.000  1.02